Below is Pm2PrY2Er2 after structural relaxation, with properties calculated at the PBE-GGA level.

Cell lengths 11.7934, 3.5351, 11.8624 Å; angles 90.00, 108.48, 90.00 degrees
Last column: nearest neighbours and their distance in Å.
Space group C2/m (No. 12)
Symmetry-distinct sites (fractional):
Pm  0.1726  0.0000  0.0844 (multiplicity 4)  4 Y 3.51-3.64, 5 Pm 3.54-3.93, 2 Er 3.62
Pr  0.0000  0.5000  0.5000 (multiplicity 2)  2 Pr 3.54, 6 Er 3.54-3.59, 4 Y 3.58
Y  0.0490  0.0000  0.7733 (multiplicity 4)  4 Pm 3.51-3.64, 3 Er 3.51-3.60, 2 Y 3.54, 2 Pr 3.58
Er  0.2262  0.5000  0.3625 (multiplicity 4)  3 Y 3.51-3.60, 4 Er 3.54-3.59, 3 Pr 3.54-3.59, 2 Pm 3.62

## Properties
**Size of the total moment**: 0.0000 μB/atom



Below is ScMo2Pt after structural relaxation, with properties calculated at the PBE-GGA level.

Cell lengths 7.8589, 4.5403, 4.5403 Å; angles 90.00, 125.23, 90.00 degrees
Last column: nearest neighbours and their distance in Å.
Space group Cm (No. 8)
Symmetry-distinct sites (fractional):
Sc  0.0000  0.0000  0.0000 (multiplicity 2)  4 Pt 2.78, 4 Mo 2.78
Mo  0.0000  0.5000  0.5007 (multiplicity 2)  4 Mo 2.77-2.79, 4 Pt 2.78
Mo  0.2500  0.0000  0.7495 (multiplicity 2)  4 Mo 2.77-2.79, 4 Sc 2.78
Pt  0.2500  0.5000  0.2495 (multiplicity 2)  4 Mo 2.78, 4 Sc 2.78

## Properties
**Size of the total moment**: 0.0000 μB/atom
**Distance to the lowest polymorph of the same formula**: 0.057 eV per atom



Below is Na5LaO4 after structural relaxation, with properties calculated at the PBE-GGA level.

Cell lengths 15.3361, 15.3361, 5.5798 Å; angles 90.00, 90.00, 90.00 degrees
Last column: nearest neighbours and their distance in Å.
Space group P4_2/nmc (No. 137, origin choice 2)
Symmetry-distinct sites (fractional):
Na  0.0124  0.5124  0.2500 (multiplicity 8)  4 O 2.26-2.48
Na  0.1032  0.1443  0.1831 (multiplicity 16)  4 O 2.28-2.53
Na  0.1220  0.6220  0.7500 (multiplicity 8)  4 O 2.39-2.41
Na  0.2500  0.2500  0.1170 (multiplicity 4)  4 O 2.34-2.43
Na  0.2500  0.7500  0.2500 (multiplicity 2)  4 O 2.38
Na  0.2500  0.7500  0.7500 (multiplicity 2)  4 O 2.39
La  0.0187  0.7500  0.2910 (multiplicity 8)  4 O 2.29-2.39
O  0.0072  0.1238  0.4899 (multiplicity 16)  5 Na 2.26-2.48, 1 La 2.32
O  0.1240  0.2500  0.8820 (multiplicity 8)  6 Na 2.34-2.53, 1 La 2.39
O  0.1240  0.7500  0.0014 (multiplicity 8)  1 La 2.29, 4 Na 2.38-2.41

## Properties
**Formation energy without anion corrections**: -1760 meV per atom
**Size of the total moment**: 0.0000 μB/atom
**Distance to the lowest polymorph of the same formula**: 0.000 eV per atom



Below is Cr2MoRh after structural relaxation, with properties calculated at the PBE-GGA level.

Cell lengths 6.0701, 6.0701, 6.0701 Å; angles 90.00, 90.00, 90.00 degrees
Last column: nearest neighbours and their distance in Å.
Space group F-43m (No. 216)
Symmetry-distinct sites (fractional):
Cr  0.0000  0.0000  0.0000 (multiplicity 4)  4 Cr 2.63, 4 Rh 2.63
Cr  0.2500  0.2500  0.2500 (multiplicity 4)  4 Cr 2.63, 4 Mo 2.63
Mo  0.0000  0.0000  0.5000 (multiplicity 4)  4 Rh 2.63, 4 Cr 2.63
Rh  0.2500  0.2500  0.7500 (multiplicity 4)  4 Cr 2.63, 4 Mo 2.63

## Properties
**Size of the total moment**: 0.6697 μB/atom



Below is KRh2W after structural relaxation, with properties calculated at the PBE-GGA level.

Cell lengths 7.3686, 7.3686, 6.4358 Å; angles 90.00, 90.00, 90.00 degrees
Last column: nearest neighbours and their distance in Å.
Space group I-42d (No. 122)
Symmetry-distinct sites (fractional):
K  0.0000  0.0000  0.0000 (multiplicity 4)  8 Rh 3.08-3.32, 2 W 3.22
Rh  0.1830  0.2500  0.6250 (multiplicity 8)  2 W 2.42
W  0.0000  0.0000  0.5000 (multiplicity 4)  4 Rh 2.42

## Properties
**Size of the total moment**: 0.0000 μB/atom
**Distance to the lowest polymorph of the same formula**: 0.648 eV per atom



Below is K2Be after structural relaxation, with properties calculated at the PBE-GGA level.

Cell lengths 4.6902, 17.3890, 6.1269 Å; angles 90.00, 90.00, 90.00 degrees
Last column: nearest neighbours and their distance in Å.
Space group Cmcm (No. 63)
Symmetry-distinct sites (fractional):
K  0.0000  0.0578  0.2500 (multiplicity 4)  2 K 3.66, 6 Be 3.67-3.94
K  0.0000  0.2484  0.7500 (multiplicity 4)  2 Be 3.43
Be  0.0000  0.3958  0.2500 (multiplicity 4)  4 K 3.43-3.67

## Properties
**Size of the total moment**: 0.0000 μB/atom
**Distance to the lowest polymorph of the same formula**: 0.362 eV per atom



Below is AlTlIn2 after structural relaxation, with properties calculated at the PBE-GGA level.

Cell lengths 3.3319, 5.4935, 11.3601 Å; angles 90.00, 90.00, 90.00 degrees
Last column: nearest neighbours and their distance in Å.
Space group Imm2 (No. 44)
Symmetry-distinct sites (fractional):
Al  0.0000  0.0000  0.0000 (multiplicity 2)  6 In 2.98-3.22, 2 Tl 3.11, 2 Al 3.33
Tl  0.0000  0.5000  0.7316 (multiplicity 2)  2 Al 3.11, 4 In 3.26, 2 Tl 3.33
In  0.0000  0.0000  0.5136 (multiplicity 2)  4 Al 3.22, 4 In 3.33-3.48
In  0.0000  0.5000  0.2824 (multiplicity 2)  2 Al 2.98, 4 Tl 3.26, 2 In 3.33

## Properties
**Size of the total moment**: 0.0000 μB/atom
**Distance to the lowest polymorph of the same formula**: 0.063 eV per atom



Below is ScH2Ir after structural relaxation, with properties calculated at the PBE-GGA level.

Cell lengths 4.2851, 4.2851, 9.0013 Å; angles 90.00, 90.00, 90.00 degrees
Last column: nearest neighbours and their distance in Å.
Space group I-42d (No. 122)
Symmetry-distinct sites (fractional):
Sc  0.0000  0.0000  0.0000 (multiplicity 4)  4 H 2.02
H  0.1971  0.2500  0.6250 (multiplicity 8)  2 Ir 1.77
Ir  0.0000  0.0000  0.5000 (multiplicity 4)  4 H 1.77

## Properties
**Size of the total moment**: 0.0000 μB/atom
**Distance to the lowest polymorph of the same formula**: 0.000 eV per atom



Below is Nd6Ir2PdBr3 after structural relaxation, with properties calculated at the PBE-GGA level.

Cell lengths 7.2456, 12.5474, 8.1733 Å; angles 90.00, 107.18, 90.00 degrees
Last column: nearest neighbours and their distance in Å.
Space group C2/m (No. 12)
Symmetry-distinct sites (fractional):
Nd  0.2218  0.0000  0.1965 (multiplicity 4)  2 Ir 2.83, 1 Pd 2.92
Nd  0.2373  0.3282  0.1967 (multiplicity 8)  2 Ir 2.83, 1 Pd 2.92
Ir  0.0000  0.1666  0.0000 (multiplicity 4)  6 Nd 2.83
Pd  0.0000  0.5000  0.0000 (multiplicity 2)  6 Nd 2.92
Br  0.0000  0.0000  0.5000 (multiplicity 2)  6 Nd 3.33-3.41
Br  0.0000  0.3320  0.5000 (multiplicity 4)  6 Nd 3.32-3.42

## Properties
**Formation energy without anion corrections**: -1085 meV per atom
**Size of the total moment**: 0.0000 μB/atom



| no. | DOS(E_F) (states/eV/atom) | E_tot (eV for the cell shown) |
| --- | --- | --- |
| 1 | 1.78 | -71.43 |
| 2 | 0.96 | -70.09 |
| 3 | 0.00 | -391.61 |
| 4 | 0.91 | -147.15 |
| 5 | 1.04 | -100.83 |
| 6 | 0.53 | -13.83 |
| 7 | 0.37 | -21.92 |
| 8 | 0.00 | -94.60 |
| 9 | 0.46 | -139.11 |